No. 1
VASP calculation (PBE-GGA) on crystalline Ba2PmTiO6 at its relaxed geometry.

```
Ba2PmTiO6
1.0
0.000 4.294 4.294
4.294 0.000 4.294
4.294 4.294 0.000
Ba Pm Ti O
2 1 1 6
direct
0.250 0.250 0.250
0.750 0.750 0.750
0.000 0.000 0.000
0.500 0.500 0.500
0.269 0.269 0.731
0.269 0.731 0.269
0.269 0.731 0.731
0.731 0.269 0.269
0.731 0.269 0.731
0.731 0.731 0.269
```

Properties
V = 15.84 A^3/atom
Energy = -7.472 eV/atom

No. 2
VASP calculation (PBE-GGA) on crystalline Ba2PmTlO6 at its relaxed geometry.

```
Ba2PmTlO6
1.0
-3.131 3.131 4.419
3.131 -3.131 4.419
3.131 3.131 -4.419
Ba Pm Tl O
2 1 1 6
direct
0.250 0.750 0.500
0.750 0.250 0.500
0.000 0.000 0.000
0.500 0.500 0.000
0.254 0.254 0.509
0.254 0.746 0.000
0.255 0.255 0.000
0.745 0.745 0.000
0.746 0.254 0.000
0.746 0.746 0.491
```

Properties
V = 17.32 A^3/atom
Energy = -6.005 eV/atom

No. 3
VASP calculation (PBE-GGA) on crystalline Ba3PmTl2O6 at its relaxed geometry.

```
Ba3PmTl2O6
1.0
6.396 0.000 0.000
-3.198 5.539 0.000
0.000 0.000 7.136
Ba Pm Tl O
3 1 2 6
direct
0.000 0.000 0.000
0.333 0.667 0.606
0.667 0.333 0.394
0.000 0.000 0.500
0.333 0.667 0.121
0.667 0.333 0.879
0.168 0.336 0.308
0.168 0.832 0.308
0.336 0.168 0.692
0.664 0.832 0.308
0.832 0.168 0.692
0.832 0.664 0.692
```

Properties
V = 21.07 A^3/atom
Energy = -5.819 eV/atom

No. 4
VASP calculation (PBE-GGA) on crystalline BaPmTl4O8 at its relaxed geometry.

```
BaPmTl4O8
1.0
3.548 2.049 5.796
-3.548 2.049 5.796
0.000 -4.097 5.796
Ba Pm Tl O
1 1 4 8
direct
0.000 0.000 0.000
0.378 0.378 0.378
0.376 0.376 0.883
0.376 0.883 0.376
0.754 0.754 0.754
0.883 0.376 0.376
0.148 0.148 0.148
0.148 0.148 0.570
0.148 0.570 0.148
0.158 0.621 0.621
0.570 0.148 0.148
0.613 0.613 0.613
0.621 0.158 0.621
0.621 0.621 0.158
```

Properties
V = 18.06 A^3/atom
Energy = -5.391 eV/atom

Values of mass density, in order: 5.91; 6.90; 6.97; 8.07, all in g/cm3.
Values of magnetization, in order: 1.04; 0.99; 0.00; 0.00, all in μB per cell.